1.
VASP calculation (PBE) on crystalline MgZrZnCo at its relaxed geometry.

Geometry as POSCAR:
```
MgZrZnCo
1.0
4.527 0.000 0.000
2.263 3.920 0.000
2.263 1.307 3.696
Zn Co Mg Zr
1 1 1 1
Direct
0.000 0.000 0.000
0.500 0.500 0.500
0.250 0.250 0.250
0.750 0.750 0.750
```

Output
DOS at the Fermi energy in states/eV per cell: 3.1
Total DFT energy (no corrections) in Ry/atom: -0.351
M_tot in μB per formula unit: 0.86
DFT formation energy in eV per atom: -0.15

---

2.
VASP calculation (PBE) on crystalline MgZr5Co6 at its relaxed geometry.

Geometry as POSCAR:
```
MgZr5Co6
1.0
-0.584 3.802 -2.314
5.905 -3.772 -3.337
-6.958 -3.397 0.528
Mg Co Zr
1 6 5
Direct
0.000 0.000 0.000
0.258 0.087 0.430
0.742 0.570 0.913
0.766 0.266 0.266
0.234 0.734 0.734
0.258 0.430 0.087
0.742 0.913 0.570
0.500 0.157 0.843
0.000 0.331 0.669
0.500 0.500 0.500
0.000 0.669 0.331
0.500 0.843 0.157
```

Output
DOS at the Fermi energy in states/eV per cell: 8.4
Total DFT energy (no corrections) in Ry/atom: -0.552
M_tot in μB per formula unit: 3.64
DFT formation energy in eV per atom: -0.26

---

3.
VASP calculation (PBE) on crystalline MgZr2Co at its relaxed geometry.

Geometry as POSCAR:
```
MgZr2Co
1.0
3.024 0.016 0.000
-0.016 3.024 0.000
0.000 0.000 8.636
Co Mg Zr
1 1 2
Direct
0.500 0.500 0.250
0.500 0.500 0.750
0.000 0.000 0.053
0.000 0.000 0.447
```

Output
DOS at the Fermi energy in states/eV per cell: 4.2
Total DFT energy (no corrections) in Ry/atom: -0.479
M_tot in μB per formula unit: 1.23
DFT formation energy in eV per atom: -0.07